[1]
Below is a relaxed structure of NaGe2Au6, with properties calculated at the PBE level.

The total energy comes out at -3.450 eV per atom. The distance to the lowest polymorph of the same formula is 0 meV per atom. The formation energy is -0.09 eV/atom.

The space group is P4/mmm (No. 123) and the conventional cell measures 4.4473, 4.4473 and 8.9622 Å, with angles of 90.00, 90.00 and 90.00 degrees. The distinct sites, in fractional coordinates, are Na at (0.0000, 0.0000, 0.0000), Ge at (0.5000, 0.5000, 0.1393), Au at (0.0000, 0.0000, 0.5000), Au at (0.0000, 0.5000, 0.2841) and Au at (0.5000, 0.5000, 0.5000).

---

[2]
Below is a relaxed structure of Na2Ge2Au, with properties calculated at the PBE level.

The total energy comes out at -3.213 eV per atom. The distance to the lowest polymorph of the same formula is 37 meV per atom. The formation energy is -0.18 eV/atom.

The space group is C2/m (No. 12) and the conventional cell measures 10.4990, 4.5624 and 10.5908 Å, with angles of 90.00, 117.54 and 90.00 degrees. The distinct sites, in fractional coordinates, are Na at (0.0817, 0.0000, 0.3848), Na at (0.1833, 0.5000, 0.1894), Ge at (0.0887, 0.0000, 0.9488), Ge at (0.1201, 0.5000, 0.5969) and Au at (0.1256, 0.5000, 0.8465).

---

[3]
Below is a relaxed structure of NaGeAu, with properties calculated at the PBE level.

The total energy comes out at -3.292 eV per atom. The formation energy is -0.22 eV/atom.

The space group is P-6m2 (No. 187) and the conventional cell measures 4.5738, 4.5738 and 3.3216 Å, with angles of 90.00, 90.00 and 120.00 degrees. The distinct sites, in fractional coordinates, are Na at (0.0000, 0.0000, 0.0000), Ge at (0.6667, 0.3333, 0.5000) and Au at (0.3333, 0.6667, 0.5000).

---

[4]
Below is a relaxed structure of NaGe2Au2, with properties calculated at the PBE level.

The total energy comes out at -3.521 eV per atom. The distance to the lowest polymorph of the same formula is 63 meV per atom. The formation energy is -0.10 eV/atom.

The space group is I4/mmm (No. 139) and the conventional cell measures 4.6292, 4.6292 and 10.5597 Å, with angles of 90.00, 90.00 and 90.00 degrees. The distinct sites, in fractional coordinates, are Na at (0.0000, 0.0000, 0.0000), Ge at (0.0000, 0.5000, 0.2500) and Au at (0.0000, 0.0000, 0.3670).

---

[5]
Below is a relaxed structure of NaGe2Au, with properties calculated at the PBE level.

The total energy comes out at -3.395 eV per atom. The formation energy is 0.06 eV/atom.

The space group is I-42d (No. 122) and the conventional cell measures 4.2914, 4.2914 and 19.2032 Å, with angles of 90.00, 90.00 and 90.00 degrees. The distinct sites, in fractional coordinates, are Na at (0.0000, 0.0000, 0.0000), Ge at (0.1757, 0.2500, 0.6250) and Au at (0.0000, 0.0000, 0.5000).

---

[6]
Below is a relaxed structure of Na2GeAu2, with properties calculated at the PBE level.

The total energy comes out at -2.754 eV per atom. The distance to the lowest polymorph of the same formula is 307 meV per atom. The formation energy is 0.01 eV/atom.

The space group is P4/mbm (No. 127) and the conventional cell measures 8.5427, 8.5427 and 2.9216 Å, with angles of 90.00, 90.00 and 90.00 degrees. The distinct sites, in fractional coordinates, are Na at (0.1325, 0.3675, 0.0000), Ge at (0.0000, 0.0000, 0.0000) and Au at (0.1654, 0.6654, 0.5000).

---

[7]
Below is a relaxed structure of Na2Ge2Au, with properties calculated at the PBE level.

The total energy comes out at -3.250 eV per atom. The distance to the lowest polymorph of the same formula is 0 meV per atom. The formation energy is -0.22 eV/atom.

The space group is P4/mbm (No. 127) and the conventional cell measures 6.6297, 6.6297 and 4.9282 Å, with angles of 90.00, 90.00 and 90.00 degrees. The distinct sites, in fractional coordinates, are Na at (0.1760, 0.3240, 0.0000), Ge at (0.1315, 0.6315, 0.5000) and Au at (0.0000, 0.0000, 0.5000).

---

[8]
Below is a relaxed structure of Na2Ge3Au2, with properties calculated at the PBE level.

The total energy comes out at -3.435 eV per atom. The formation energy is -0.14 eV/atom.

The space group is C2/m (No. 12) and the conventional cell measures 10.5814, 4.4236 and 6.9511 Å, with angles of 90.00, 115.44 and 90.00 degrees. The distinct sites, in fractional coordinates, are Na at (0.1655, 0.0000, 0.2964), Ge at (0.0000, 0.5000, 0.5000), Ge at (0.1085, 0.5000, 0.9490) and Au at (0.1273, 0.0000, 0.7392).

---

[9]
Below is a relaxed structure of NaGe2Au6, with properties calculated at the PBE level.

The total energy comes out at -3.214 eV per atom. The distance to the lowest polymorph of the same formula is 237 meV per atom. The formation energy is 0.14 eV/atom.

The space group is Fd-3m (No. 227, origin choice 2) and the conventional cell measures 11.9216, 11.9216 and 11.9216 Å, with angles of 90.00, 90.00 and 90.00 degrees. The distinct sites, in fractional coordinates, are Na at (0.1250, 0.1250, 0.1250), Ge at (0.0000, 0.0000, 0.5000) and Au at (0.1211, 0.3750, 0.8750).

---

[10]
Below is a relaxed structure of Na2GeAu6, with properties calculated at the PBE level.

The total energy comes out at -3.188 eV per atom. The formation energy is -0.20 eV/atom.

The space group is C2/m (No. 12) and the conventional cell measures 10.1577, 5.7931 and 6.4665 Å, with angles of 90.00, 103.21 and 90.00 degrees. The distinct sites, in fractional coordinates, are Na at (0.1427, 0.0000, 0.3708), Ge at (0.0000, 0.5000, 0.5000), Au at (0.1209, 0.5000, 0.1943) and Au at (0.1381, 0.2429, 0.8127).

---

[11]
Below is a relaxed structure of NaGe2Au, with properties calculated at the PBE level.

The total energy comes out at -3.411 eV per atom. The formation energy is 0.05 eV/atom.

The space group is R-3m (No. 166, hexagonal axes) and the conventional cell measures 4.3071, 4.3071 and 22.7105 Å, with angles of 90.00, 90.00 and 120.00 degrees. The distinct sites, in fractional coordinates, are Na at (0.0000, 0.0000, 0.0000), Ge at (0.0000, 0.0000, 0.1285) and Au at (0.0000, 0.0000, 0.5000).

---

[12]
Below is a relaxed structure of Na3GeAu4, with properties calculated at the PBE level.

The total energy comes out at -2.908 eV per atom. The distance to the lowest polymorph of the same formula is 42 meV per atom. The formation energy is -0.20 eV/atom.

The space group is Pnma (No. 62) and the conventional cell measures 15.7378, 9.6168 and 4.8828 Å, with angles of 90.00, 90.00 and 90.00 degrees. The distinct sites, in fractional coordinates, are Na at (0.0934, 0.2500, 0.0018), Na at (0.1429, 0.0332, 0.5011), Ge at (0.1981, 0.7500, 0.9836), Au at (0.0215, 0.7500, 0.4986), Au at (0.0648, 0.5926, 0.9992) and Au at (0.2277, 0.7500, 0.4833).